[1]
Ca2IrF2 | GGA-PBEsol | optimized geometry

The structure in CIF format:
```
data_Ca2IrF2
_symmetry_space_group_name_H-M 'I 4/m m m'
_symmetry_Int_Tables_number 139
_symmetry_space_group_name_Hall '-I 4 2'
_cell_length_a 3.508
_cell_length_b 3.508
_cell_length_c 13.190
_cell_angle_alpha 90.00
_cell_angle_beta 90.00
_cell_angle_gamma 90.00
loop_
_atom_site_label
_atom_site_fract_x
_atom_site_fract_y
_atom_site_fract_z
Ca1 0.000 0.000 0.142
Ir1 0.000 0.000 0.500
F1 0.000 0.500 0.250
```

Properties
* electronic total energy: -5.69 eV/atom
* uncorrected formation energy: -10.51 eV per formula unit



[2]
CaIrNF2 | GGA-PBEsol | optimized geometry

The structure in CIF format:
```
data_CaIrNF2
_symmetry_space_group_name_H-M 'P 4/m m m'
_symmetry_Int_Tables_number 123
_symmetry_space_group_name_Hall '-P 4 2'
_cell_length_a 4.407
_cell_length_b 4.407
_cell_length_c 3.741
_cell_angle_alpha 90.00
_cell_angle_beta 90.00
_cell_angle_gamma 90.00
loop_
_atom_site_label
_atom_site_fract_x
_atom_site_fract_y
_atom_site_fract_z
Ca1 0.000 0.000 0.000
Ir1 0.500 0.500 0.500
N1 0.500 0.500 0.000
F1 0.000 0.500 0.500
```

Properties
* electronic total energy: -5.96 eV/atom
* uncorrected formation energy: -5.48 eV per formula unit



no.,magnetization (μB/f.u.)
1,0.0
2,0.0